[1]
Here is a geometry-optimized Zr2InSi structure from the Alexandria database. Energies are from PBE.

Values from the calculation:
**Magnetic moment**: 0.000 μB/cell
**V**: 21.173 Å³/atom
**Formation energy (no corrections)**: -0.051 eV/atom
**Space-group type**: No. 99

a = 3.3385 Å, b = 3.3385 Å, c = 7.5987 Å
α = 90.00°, β = 90.00°, γ = 90.00°
Closest atoms and distances in Å follow each position.
Atoms (fractional coordinates):
In  0.0000  0.0000  0.5284  4 Si 2.94, 4 Zr 3.17
Si  0.5000  0.5000  0.7594  4 Zr 2.82, 4 In 2.94
Zr  0.0000  0.0000  0.9624  4 Si 2.82
Zr  0.5000  0.5000  0.2499  4 In 3.17, 8 Zr 3.22-3.34

---

[2]
Here is a geometry-optimized NbInSn2 structure from the Alexandria database. Energies are from PBE.

Values from the calculation:
**Magnetic moment**: 0.000 μB/cell
**ΔH_f (0 K)**: 8 kJ per mole of atoms
**V**: 23.988 Å³/atom
**Space-group type**: No. 160

a = 3.2068 Å, b = 3.2068 Å, c = 10.9319 Å
α = 81.57°, β = 81.57°, γ = 60.00°
Closest atoms and distances in Å follow each position.
Atoms (fractional coordinates):
Nb  0.6667  0.6667  0.9999  6 Sn 3.01, 6 Nb 3.21
In  0.5001  0.5001  0.4998  6 In 3.21, 6 Sn 3.53-3.54
Sn  0.0735  0.0735  0.7796  3 Nb 3.01, 6 Sn 3.21
Sn  0.2598  0.2598  0.2207  3 Nb 3.01, 6 Sn 3.21

---

[3]
Here is a geometry-optimized RbCaBeCl5 structure from the Alexandria database. Energies are from PBE.

Values from the calculation:
**Magnetic moment**: 0.000 μB/cell
**V**: 29.279 Å³/atom
**Formation energy (no corrections)**: -1.925 eV/atom
**Space-group type**: No. 15

a = 7.4252 Å, b = 7.4252 Å, c = 9.7086 Å
α = 104.59°, β = 104.59°, γ = 105.66°
Closest atoms and distances in Å follow each position.
Atoms (fractional coordinates):
Rb  0.3491  0.6509  0.2500  5 Cl 3.13-3.35
Rb  0.6509  0.3491  0.7500  5 Cl 3.13-3.35
Ca  0.0000  0.0000  0.5000  6 Cl 2.62-2.88
Ca  0.0000  0.0000  0.0000  6 Cl 2.62-2.88
Be  0.6890  0.3110  0.2500  4 Cl 2.05-2.06
Be  0.3110  0.6890  0.7500  4 Cl 2.05-2.06
Cl  0.0843  0.9157  0.2500  2 Ca 2.62
Cl  0.9157  0.0843  0.7500  2 Ca 2.62
Cl  0.8886  0.3167  0.1367  1 Be 2.05
Cl  0.1114  0.6833  0.8633  1 Be 2.05
Cl  0.6833  0.1114  0.3633  1 Be 2.05
Cl  0.3167  0.8886  0.6367  1 Be 2.05
Cl  0.7601  0.5862  0.4087  1 Be 2.06
Cl  0.2399  0.4138  0.5913  1 Be 2.06
Cl  0.4138  0.2399  0.0913  1 Be 2.06
Cl  0.5862  0.7601  0.9087  1 Be 2.06

---

[4]
Here is a geometry-optimized AcPr4Sn15 structure from the Alexandria database. Energies are from PBE.

Values from the calculation:
**Magnetic moment**: 0.000 μB/cell
**ΔH_f (0 K)**: -48 kJ per mole of atoms
**V**: 27.974 Å³/atom
**Space-group type**: No. 123

a = 4.7685 Å, b = 4.7685 Å, c = 24.6043 Å
α = 90.00°, β = 90.00°, γ = 90.00°
Closest atoms and distances in Å follow each position.
Atoms (fractional coordinates):
Ac  0.0000  0.0000  0.0000  12 Sn 3.37-3.50
Pr  0.0000  0.0000  0.2029  12 Sn 3.37-3.41
Pr  0.0000  0.0000  0.4008  12 Sn 3.37-3.41
Pr  0.0000  0.0000  0.5992  12 Sn 3.37-3.41
Pr  0.0000  0.0000  0.7971  12 Sn 3.37-3.41
Sn  0.5000  0.5000  0.0000  4 Ac 3.37, 8 Sn 3.50
Sn  0.5000  0.5000  0.2024  4 Pr 3.37, 8 Sn 3.40-3.42
Sn  0.5000  0.5000  0.4010  4 Pr 3.37, 8 Sn 3.41
Sn  0.5000  0.5000  0.5990  4 Pr 3.37, 8 Sn 3.41
Sn  0.5000  0.5000  0.7976  4 Pr 3.37, 8 Sn 3.40-3.42
Sn  0.5000  0.0000  0.1039  8 Sn 3.37-3.50, 2 Pr 3.41, 2 Ac 3.50
Sn  0.5000  0.0000  0.3020  8 Sn 3.37-3.42, 4 Pr 3.40-3.41
Sn  0.5000  0.0000  0.5000  8 Sn 3.37-3.41, 4 Pr 3.41
Sn  0.5000  0.0000  0.6980  8 Sn 3.37-3.42, 4 Pr 3.40-3.41
Sn  0.5000  0.0000  0.8961  8 Sn 3.37-3.50, 2 Pr 3.41, 2 Ac 3.50
Sn  0.0000  0.5000  0.1039  8 Sn 3.37-3.50, 2 Pr 3.41, 2 Ac 3.50
Sn  0.0000  0.5000  0.3020  8 Sn 3.37-3.42, 4 Pr 3.40-3.41
Sn  0.0000  0.5000  0.5000  8 Sn 3.37-3.41, 4 Pr 3.41
Sn  0.0000  0.5000  0.6980  8 Sn 3.37-3.42, 4 Pr 3.40-3.41
Sn  0.0000  0.5000  0.8961  8 Sn 3.37-3.50, 2 Pr 3.41, 2 Ac 3.50

---

[5]
Here is a geometry-optimized HoCd2PbO6 structure from the Alexandria database. Energies are from PBE.

Values from the calculation:
**Magnetic moment**: 1.095 μB/cell
**V**: 14.572 Å³/atom
**Formation energy (no corrections)**: -1.480 eV/atom
**Space-group type**: No. 146

a = 5.7509 Å, b = 5.7508 Å, c = 6.0754 Å
α = 61.75°, β = 61.75°, γ = 60.00°
Closest atoms and distances in Å follow each position.
Atoms (fractional coordinates):
Ho  0.8107  0.8106  0.5680  6 O 2.23-2.34
Cd  0.5276  0.5276  0.4171  6 O 2.27-2.43
Cd  0.0246  0.0245  0.9264  6 O 2.25-2.40
Pb  0.3148  0.3147  0.0557  6 O 2.19-2.26
O  0.6065  0.2012  0.2554  1 Pb 2.19, 2 Cd 2.27-2.40, 1 Ho 2.34
O  0.2011  0.9369  0.2555  1 Pb 2.19, 2 Cd 2.27-2.40, 1 Ho 2.34
O  0.9369  0.6065  0.2554  1 Pb 2.19, 2 Cd 2.27-2.40, 1 Ho 2.34
O  0.4239  0.7005  0.7605  1 Ho 2.23, 2 Cd 2.25-2.43, 1 Pb 2.26
O  0.7006  0.1150  0.7606  1 Ho 2.23, 2 Cd 2.25-2.43, 1 Pb 2.26
O  0.1150  0.4239  0.7606  1 Ho 2.23, 2 Cd 2.25-2.43, 1 Pb 2.26

---

[6]
Here is a geometry-optimized Pr5Ru4 structure from the Alexandria database. Energies are from PBE.

Values from the calculation:
**Magnetic moment**: 0.000 μB/cell
**ΔH_f (0 K)**: -9 kJ per mole of atoms
**V**: 25.559 Å³/atom
**Space-group type**: No. 12

a = 4.4332 Å, b = 5.9333 Å, c = 9.8961 Å
α = 74.08°, β = 77.06°, γ = 68.06°
Closest atoms and distances in Å follow each position.
Atoms (fractional coordinates):
Pr  0.1115  0.1708  0.6062  7 Ru 3.10-3.34
Pr  0.8885  0.8292  0.3938  7 Ru 3.10-3.34
Pr  0.7590  0.6555  0.8264  6 Ru 3.13-3.34
Pr  0.2410  0.3445  0.1736  6 Ru 3.13-3.34
Pr  0.0000  0.0000  0.0000  4 Ru 2.87
Ru  0.4538  0.2497  0.8426  1 Ru 2.49
Ru  0.5462  0.7503  0.1574  1 Ru 2.49
Ru  0.4121  0.5613  0.6146  2 Ru 2.44-2.49
Ru  0.5879  0.4387  0.3854  2 Ru 2.44-2.49

---

[7]
Here is a geometry-optimized Ce2RhSe3 structure from the Alexandria database. Energies are from PBE.

Values from the calculation:
**Magnetic moment**: 4.135 μB/cell
**V**: 22.939 Å³/atom
**Formation energy (no corrections)**: -1.486 eV/atom
**Space-group type**: No. 62

a = 4.1552 Å, b = 11.4248 Å, c = 11.5967 Å
α = 90.00°, β = 90.00°, γ = 90.00°
Closest atoms and distances in Å follow each position.
Atoms (fractional coordinates):
Ce  0.2500  0.6897  0.4689  7 Se 3.01-3.12, 2 Rh 3.13
Ce  0.7500  0.3103  0.5311  7 Se 3.01-3.12, 2 Rh 3.13
Ce  0.7500  0.1897  0.0311  7 Se 3.01-3.12, 2 Rh 3.13
Ce  0.2500  0.8103  0.9689  7 Se 3.01-3.12, 2 Rh 3.13
Ce  0.2500  0.9908  0.3035  7 Se 2.99-3.14, 1 Rh 3.25
Ce  0.7500  0.0092  0.6965  7 Se 2.99-3.14, 1 Rh 3.25
Ce  0.7500  0.4908  0.1965  7 Se 2.99-3.14, 1 Rh 3.25
Ce  0.2500  0.5092  0.8035  7 Se 2.99-3.14, 1 Rh 3.25
Rh  0.2500  0.2624  0.2197  4 Se 2.46-2.74
Rh  0.7500  0.7376  0.7803  4 Se 2.46-2.74
Rh  0.7500  0.7624  0.2803  4 Se 2.46-2.74
Rh  0.2500  0.2376  0.7197  4 Se 2.46-2.74
Se  0.2500  0.3801  0.0424  1 Rh 2.46
Se  0.7500  0.6199  0.9576  1 Rh 2.46
Se  0.7500  0.8801  0.4576  1 Rh 2.46
Se  0.2500  0.1199  0.5424  1 Rh 2.46
Se  0.2500  0.6785  0.1997  2 Rh 2.47
Se  0.7500  0.3215  0.8003  2 Rh 2.47
Se  0.7500  0.1785  0.3003  2 Rh 2.47
Se  0.2500  0.8215  0.6997  2 Rh 2.47
Se  0.2500  0.4353  0.3836  1 Rh 2.74, 5 Ce 3.05-3.07
Se  0.7500  0.5647  0.6164  1 Rh 2.74, 5 Ce 3.05-3.07
Se  0.7500  0.9353  0.1164  1 Rh 2.74, 5 Ce 3.05-3.07
Se  0.2500  0.0647  0.8836  1 Rh 2.74, 5 Ce 3.05-3.07

---

[8]
Here is a geometry-optimized TbAl2Cu4 structure from the Alexandria database. Energies are from PBE.

Values from the calculation:
**Magnetic moment**: 0.000 μB/cell
**Energy relative to the lowest polymorph listed for this composition**: 547 meV per atom
**ΔH_f (0 K)**: 19 kJ per mole of atoms
**V**: 19.812 Å³/atom
**Space-group type**: No. 139

a = 5.7418 Å, b = 5.7418 Å, c = 5.7418 Å
α = 102.78°, β = 102.78°, γ = 123.88°
Closest atoms and distances in Å follow each position.
Atoms (fractional coordinates):
Tb  0.0000  0.0000  0.0000  8 Cu 3.15
Al  0.2500  0.7500  0.5000  4 Cu 2.37
Al  0.7500  0.2500  0.5000  4 Cu 2.37
Cu  0.7275  0.5000  0.2275  2 Cu 2.31, 2 Al 2.37
Cu  0.5000  0.7275  0.2275  2 Cu 2.31, 2 Al 2.37
Cu  0.5000  0.2725  0.7725  2 Cu 2.31, 2 Al 2.37
Cu  0.2725  0.5000  0.7725  2 Cu 2.31, 2 Al 2.37

---

[9]
Here is a geometry-optimized Nb3NiH structure from the Alexandria database. Energies are from PBE.

Values from the calculation:
**Magnetic moment**: 0.000 μB/cell
**Energy relative to the lowest polymorph listed for this composition**: 0 meV per atom
**V**: 13.784 Å³/atom
**Space-group type**: No. 11

a = 2.7513 Å, b = 6.5381 Å, c = 7.7832 Å
α = 90.00°, β = 90.00°, γ = 100.10°
Closest atoms and distances in Å follow each position.
Atoms (fractional coordinates):
Nb  0.0255  0.7833  0.4574  2 H 2.12-2.13
Nb  0.9745  0.2167  0.5426  2 H 2.12-2.13
Nb  0.0255  0.7833  0.0426  2 H 2.12-2.13
Nb  0.9745  0.2167  0.9574  2 H 2.12-2.13
Nb  0.5763  0.5452  0.7500  1 H 2.07
Nb  0.4237  0.4548  0.2500  1 H 2.07
Ni  0.4305  0.9270  0.7500  1 H 1.93
Ni  0.5695  0.0730  0.2500  1 H 1.93
H  0.4803  0.2246  0.7500  1 Ni 1.93, 5 Nb 2.07-2.13
H  0.5197  0.7754  0.2500  1 Ni 1.93, 5 Nb 2.07-2.13

---

[10]
Here is a geometry-optimized AlReI2 structure from the Alexandria database. Energies are from PBE.

Values from the calculation:
**Magnetic moment**: 0.000 μB/cell
**Energy relative to the lowest polymorph listed for this composition**: 0 meV per atom
**V**: 29.374 Å³/atom
**Formation energy (no corrections)**: 0.575 eV/atom
**Space-group type**: No. 122

a = 9.6970 Å, b = 9.6970 Å, c = 7.2980 Å
α = 48.37°, β = 48.37°, γ = 90.00°
Closest atoms and distances in Å follow each position.
Atoms (fractional coordinates):
I  0.7687  0.1250  0.2500  2 Re 2.71
I  0.9813  0.6250  0.2500  2 Re 2.71
I  0.3750  0.2313  0.7500  2 Re 2.71
I  0.8750  0.0187  0.7500  2 Re 2.71
Re  0.0000  0.0000  0.0000  2 Al 2.50, 4 I 2.71
Re  0.7500  0.2500  0.5000  2 Al 2.50, 4 I 2.71
Al  0.5000  0.5000  0.0000  2 Re 2.50
Al  0.2500  0.7500  0.5000  2 Re 2.50

---

[11]
Here is a geometry-optimized LiTc2Ru2 structure from the Alexandria database. Energies are from PBE.

Values from the calculation:
**Magnetic moment**: 0.000 μB/cell
**Energy relative to the lowest polymorph listed for this composition**: 9 meV per atom
**ΔH_f (0 K)**: 18 kJ per mole of atoms
**V**: 15.484 Å³/atom
**Space-group type**: No. 127

a = 7.5407 Å, b = 7.5407 Å, c = 2.7230 Å
α = 90.00°, β = 90.00°, γ = 90.00°
Closest atoms and distances in Å follow each position.
Atoms (fractional coordinates):
Ru  0.3738  0.8738  0.0000  6 Tc 2.60, 3 Ru 2.69-2.72
Ru  0.8738  0.6262  0.0000  6 Tc 2.60, 3 Ru 2.69-2.72
Ru  0.6262  0.1262  0.0000  6 Tc 2.60, 3 Ru 2.69-2.72
Ru  0.1262  0.3738  0.0000  6 Tc 2.60, 3 Ru 2.69-2.72
Tc  0.1656  0.6656  0.5000  6 Ru 2.60, 2 Tc 2.72
Tc  0.6656  0.8344  0.5000  6 Ru 2.60, 2 Tc 2.72
Tc  0.8344  0.3344  0.5000  6 Ru 2.60, 2 Tc 2.72
Tc  0.3344  0.1656  0.5000  6 Ru 2.60, 2 Tc 2.72
Li  0.0000  0.0000  0.0000  2 Li 2.72, 4 Ru 2.98
Li  0.5000  0.5000  0.0000  2 Li 2.72, 4 Ru 2.98

---

[12]
Here is a geometry-optimized Rb2ZrF6 structure from the Alexandria database. Energies are from PBE.

Values from the calculation:
**Magnetic moment**: 0.339 μB/cell
**V**: 22.750 Å³/atom
**Formation energy (no corrections)**: -3.388 eV/atom
**Space-group type**: No. 136

a = 5.8573 Å, b = 5.8573 Å, c = 11.9359 Å
α = 90.00°, β = 90.00°, γ = 90.00°
Closest atoms and distances in Å follow each position.
Atoms (fractional coordinates):
Rb  0.0000  0.0000  0.3364  6 F 2.78-2.89
Rb  0.5000  0.5000  0.8364  6 F 2.78-2.89
Rb  0.5000  0.5000  0.1636  6 F 2.78-2.89
Rb  0.0000  0.0000  0.6636  6 F 2.78-2.89
Zr  0.0000  0.0000  0.0000  6 F 2.05
Zr  0.5000  0.5000  0.5000  6 F 2.05
F  0.3306  0.3306  0.3749  1 Zr 2.05
F  0.6694  0.6694  0.3749  1 Zr 2.05
F  0.1694  0.8306  0.8749  1 Zr 2.05
F  0.8306  0.1694  0.8749  1 Zr 2.05
F  0.1694  0.8306  0.1251  1 Zr 2.05
F  0.8306  0.1694  0.1251  1 Zr 2.05
F  0.3306  0.3306  0.6251  1 Zr 2.05
F  0.6694  0.6694  0.6251  1 Zr 2.05
F  0.2476  0.2476  0.0000  1 Zr 2.05
F  0.7524  0.7524  0.0000  1 Zr 2.05
F  0.2524  0.7476  0.5000  1 Zr 2.05
F  0.7476  0.2524  0.5000  1 Zr 2.05